# 1
# Ge3AsN PBE relaxed
# ΔE_f (raw) (eV per atom): 0.6222
# Offset from the most stable computed form (kJ/mol of formula units): 0
# Final energy (eV/atom): -4.74
data_Ge3AsN
_cell_length_a 4.454
_cell_length_b 4.454
_cell_length_c 4.454
_cell_angle_alpha 90.00
_cell_angle_beta 90.00
_cell_angle_gamma 90.00
_symmetry_space_group_name_H-M 'P m -3 m'
_symmetry_Int_Tables_number 221
_symmetry_space_group_name_Hall '-P 4 2 3'
loop_
_atom_site_label
_atom_site_fract_x
_atom_site_fract_y
_atom_site_fract_z
Ge1 0.000 0.000 0.500
As1 0.500 0.500 0.500
N1 0.000 0.000 0.000

***

# 2
# Ac2Ni6C PBE relaxed
# Energy of formation from the pure elements (kJ/mol of atoms): -6.2
# Final energy (eV/atom): -5.86
data_Ac2Ni6C
_cell_length_a 6.4183
_cell_length_b 6.4183
_cell_length_c 4.3542
_cell_angle_alpha 90.00
_cell_angle_beta 90.00
_cell_angle_gamma 120.00
_symmetry_space_group_name_H-M 'P -3 m 1'
_symmetry_Int_Tables_number 164
_symmetry_space_group_name_Hall '-P 3 2"'
loop_
_atom_site_label
_atom_site_fract_x
_atom_site_fract_y
_atom_site_fract_z
Ac1 0.3333 0.6667 0.2758
Ni1 0.1316 0.2631 0.7642
C1 0.0000 0.0000 0.5000

***

# 3
# LaPd2Pt2 PBE relaxed
# Energy of formation from the pure elements (kJ/mol of atoms): -53.7
# Offset from the most stable computed form (kJ/mol of formula units): 22
# Final energy (eV/atom): -6.04
data_LaPd2Pt2
_cell_length_a 3.973
_cell_length_b 3.973
_cell_length_c 25.204
_cell_angle_alpha 90.00
_cell_angle_beta 90.00
_cell_angle_gamma 90.00
_symmetry_space_group_name_H-M 'I 4/m m m'
_symmetry_Int_Tables_number 139
_symmetry_space_group_name_Hall '-I 4 2'
loop_
_atom_site_label
_atom_site_fract_x
_atom_site_fract_y
_atom_site_fract_z
La1 0.000 0.000 0.124
Pd1 0.000 0.000 0.324
Pd2 0.000 0.500 0.000
Pt1 0.000 0.000 0.426
Pt2 0.000 0.500 0.250

***

Q: Number 2 is which compound?
A: Ac2Ni6C